No. 1
Compound: Au2Se3O10
Source: Alexandria
Functional: PBEsol
Structure: optimized geometry

CIF file:
```
data_Au2Se3O10
_cell_length_a 16.957
_cell_length_b 6.299
_cell_length_c 8.447
_cell_angle_alpha 90.00
_cell_angle_beta 90.00
_cell_angle_gamma 90.00
_space_group_name_H-M_alt 'C m c 21'
_space_group_IT_number 36
loop_
_space_group_symop_operation_xyz
'x,y,z'
'-x,-y,z+1/2'
'-x,y,z'
'x,-y,z+1/2'
'x+1/2,y+1/2,z'
'-x+1/2,-y+1/2,z+1/2'
'-x+1/2,y+1/2,z'
'x+1/2,-y+1/2,z+1/2'
loop_
_atom_site_label
_atom_site_fract_x
_atom_site_fract_y
_atom_site_fract_z
_atom_site_occupancy
Au1 0.159 0.017 0.000 1
Se1 0.000 0.155 0.355 1
Se2 0.162 0.475 0.621 1
O1 0.000 0.244 0.537 1
O2 0.000 0.318 0.206 1
O3 0.079 0.018 0.827 1
O4 0.153 0.330 0.978 1
O5 0.169 0.293 0.466 1
O6 0.238 0.014 0.174 1
```


No. 2
Compound: Au2Se4O11
Source: Alexandria
Functional: PBEsol
Structure: optimized geometry

density of states at the Fermi level	0.00	states/eV per cell

CIF file:
```
data_Au2Se4O11
_cell_length_a 20.781
_cell_length_b 4.113
_cell_length_c 13.003
_cell_angle_alpha 90.00
_cell_angle_beta 111.96
_cell_angle_gamma 90.00
_space_group_name_H-M_alt 'C 1 2/c 1'
_space_group_IT_number 15
loop_
_space_group_symop_operation_xyz
'x,y,z'
'-x,-y,-z'
'-x,y,-z+1/2'
'x,-y,z+1/2'
'x+1/2,y+1/2,z'
'-x+1/2,-y+1/2,-z'
'-x+1/2,y+1/2,-z+1/2'
'x+1/2,-y+1/2,z+1/2'
loop_
_atom_site_label
_atom_site_fract_x
_atom_site_fract_y
_atom_site_fract_z
_atom_site_occupancy
Au1 0.000 0.000 0.000 1
Au2 0.250 0.250 0.000 1
Se1 0.075 0.229 0.250 1
Se2 0.161 0.247 0.582 1
O1 0.000 0.014 0.750 1
O2 0.037 0.357 0.111 1
O3 0.092 0.032 0.487 1
O4 0.126 0.077 0.747 1
O5 0.178 0.409 0.470 1
O6 0.223 0.061 0.121 1
```


No. 3
Compound: Au2Se2O7
Source: Alexandria
Functional: PBEsol
Structure: optimized geometry

CIF file:
```
data_Au2Se2O7
_cell_length_a 6.985
_cell_length_b 11.409
_cell_length_c 4.056
_cell_angle_alpha 90.00
_cell_angle_beta 90.00
_cell_angle_gamma 90.00
_space_group_name_H-M_alt 'P b a 2'
_space_group_IT_number 32
loop_
_space_group_symop_operation_xyz
'x,y,z'
'-x,-y,z'
'-x+1/2,y+1/2,z'
'x+1/2,-y+1/2,z'
loop_
_atom_site_label
_atom_site_fract_x
_atom_site_fract_y
_atom_site_fract_z
_atom_site_occupancy
Au1 0.193 0.064 0.000 1
Se1 0.105 0.328 0.739 1
O1 0.000 0.000 0.303 1
O2 0.033 0.209 0.981 1
O3 0.125 0.625 0.649 1
O4 0.161 0.417 0.075 1
```


No. 4
Compound: Ta2AuSeO
Source: Alexandria
Functional: PBEsol
Structure: optimized geometry

density of states at the Fermi level	4.84	states/eV per cell

CIF file:
```
data_Ta2AuSeO
_cell_length_a 4.698
_cell_length_b 4.698
_cell_length_c 4.664
_cell_angle_alpha 90.00
_cell_angle_beta 90.00
_cell_angle_gamma 90.00
_space_group_name_H-M_alt 'P 4/m m m'
_space_group_IT_number 123
_space_group_name_Hall '-P 4 2'
loop_
_atom_site_label
_atom_site_fract_x
_atom_site_fract_y
_atom_site_fract_z
_atom_site_occupancy
Ta1 0.000 0.500 0.000 1
Au1 0.000 0.000 0.500 1
Se1 0.000 0.000 0.000 1
O1 0.500 0.500 0.500 1
```


How do the records compare in energy relative to the elements, uncorrected? In the order shown, they have -6.70; -9.23; -4.75; 7.74 eV per formula unit.
How do the records compare in calculated density? In the order shown, they have 5.82; 5.71; 6.82; 10.55 g/cm³.